Entry 1:
An optimized crystal structure of Fe2Si. Source: Alexandria, functional PBE-GGA.

**Calculated volume**: 142.7 Å³ per cell
**Total magnetization**: 0.66 μB per atom
**Uncorrected formation energy**: 0.106 eV per atom

a b c (Å): 2.507 3.684 15.452
angles (deg): 90.00 90.00 90.00
Space group Imma (No. 74)
Asymmetric unit:
Fe (0.000, 0.250, 0.036)
Fe (0.000, 0.250, 0.186)
Si (0.000, 0.250, 0.626)

Entry 2:
An optimized crystal structure of FeSi3. Source: Alexandria, functional PBE-GGA.

**Calculated volume**: 49.1 Å³ per cell
**Total magnetization**: 0.24 μB per atom
**Uncorrected formation energy**: 0.316 eV per atom

a b c (Å): 3.663 3.663 3.663
angles (deg): 90.00 90.00 90.00
Space group Pm-3m (No. 221)
Asymmetric unit:
Fe (0.000, 0.000, 0.000)
Si (0.000, 0.500, 0.500)